Here is an optimized crystal structure of NiHg2F8 from Alexandria. Energies are from PBE+U.

POSCAR file:
```
NiHg2F8
1.0
-1.5960 -4.6192 -0.5118
4.4932 -1.7285 3.3540
-6.4126 1.9918 2.1907
F Hg Ni
8 2 1
Cartesian
0.6537 -1.7955 3.5672
1.6937 -5.0044 2.2737
-0.7819 -3.4344 0.8104
-2.7334 -0.9216 4.2223
-5.2090 0.6484 2.7590
-4.1690 -2.5605 1.4656
-2.3642 -3.7393 3.6649
-1.1511 -0.6167 1.3679
-3.2415 -0.3803 2.2448
-0.2738 -3.9757 2.7880
-6.4126 1.9918 2.1906
```

Results
E = -33.1 eV/cell
Volume = 14.8 Å³/atom